(1)
Material: InSnAs2
Method: DFT, PBE
State: optimized geometry

Output
E above lowest polymorph = 0.008 eV/atom
Formation energy = -51 meV per atom

Cell: 7.7975 7.7975 7.7975 Å, 132.30 132.30 69.76°
With the nearest neighbours (Å) after each atom.
Element x y z (fractional)
In 0.0000 0.0000 0.0000  4 As 2.73
In 0.7500 0.2500 0.5000  4 As 2.73
Sn 0.2500 0.7500 0.5000  4 As 2.76
Sn 0.5000 0.5000 0.0000  4 As 2.76
As 0.1199 0.6250 0.9949  2 In 2.73, 2 Sn 2.76
As 0.3750 0.3699 0.4949  2 In 2.73, 2 Sn 2.76
As 0.6301 0.1250 0.0051  2 In 2.73, 2 Sn 2.76
As 0.8750 0.8801 0.5051  2 In 2.73, 2 Sn 2.76



(2)
Material: NdPuTlRu
Method: DFT, PBE
State: optimized geometry

Output
E above lowest polymorph = 0.000 eV/atom
Formation energy = -172 meV per atom

Cell: 3.3956 3.3956 8.5563 Å, 90.00 90.00 90.00°
With the nearest neighbours (Å) after each atom.
Element x y z (fractional)
Nd 0.0000 0.0000 0.0000  4 Ru 3.05, 4 Nd 3.40
Pu 0.0000 0.0000 0.5926  4 Ru 2.89
Tl 0.5000 0.5000 0.3025  4 Tl 3.40, 4 Pu 3.45, 4 Nd 3.53
Ru 0.5000 0.5000 0.7796  4 Pu 2.89, 4 Nd 3.05



(3)
Material: KYC
Method: DFT, PBE
State: optimized geometry

Output
E above lowest polymorph = 0.525 eV/atom
Formation energy = 458 meV per atom

Cell: 7.9318 4.4373 7.0483 Å, 90.00 90.00 90.00°
With the nearest neighbours (Å) after each atom.
Element x y z (fractional)
K 0.0314 0.2500 0.1424  3 C 3.00-3.03, 2 K 3.03, 3 Y 3.25-3.26
K 0.4686 0.7500 0.6424  3 C 3.00-3.03, 2 K 3.03, 3 Y 3.25-3.26
K 0.5314 0.2500 0.3576  3 C 3.00-3.03, 2 K 3.03, 3 Y 3.25-3.26
K 0.9686 0.7500 0.8576  3 C 3.00-3.03, 2 K 3.03, 3 Y 3.25-3.26
Y 0.1479 0.2500 0.5849  4 C 2.43-2.69
Y 0.3521 0.7500 0.0849  4 C 2.43-2.69
Y 0.6479 0.2500 0.9151  4 C 2.43-2.69
Y 0.8521 0.7500 0.4151  4 C 2.43-2.69
C 0.1587 0.7500 0.3977  4 Y 2.43-2.69
C 0.3413 0.2500 0.8977  4 Y 2.43-2.69
C 0.6587 0.7500 0.1023  4 Y 2.43-2.69
C 0.8413 0.2500 0.6023  4 Y 2.43-2.69



(4)
Material: AgHgRh2
Method: DFT, PBE
State: optimized geometry

Output
Formation energy = 294 meV per atom

Cell: 2.8177 4.8175 4.9378 Å, 90.00 91.20 90.00°
With the nearest neighbours (Å) after each atom.
Element x y z (fractional)
Ag 0.0000 0.0000 0.0000  4 Rh 2.80, 4 Hg 2.82-2.87, 2 Ag 2.82
Hg 0.5000 0.0000 0.5000  4 Rh 2.81, 4 Ag 2.82-2.87, 2 Hg 2.82
Rh 0.2552 0.5000 0.7555  6 Rh 2.76-2.90, 2 Ag 2.80, 2 Hg 2.81
Rh 0.7448 0.5000 0.2445  6 Rh 2.76-2.90, 2 Ag 2.80, 2 Hg 2.81



(5)
Material: Pr2SmPt
Method: DFT, PBE
State: optimized geometry

Output
E above lowest polymorph = 0.186 eV/atom
Formation energy = -431 meV per atom

Cell: 9.6988 9.6988 9.6988 Å, 24.01 24.01 24.01°
With the nearest neighbours (Å) after each atom.
Element x y z (fractional)
Pr 0.0000 0.0000 0.0000  3 Pt 2.91
Pr 0.2092 0.2092 0.2092  3 Pt 2.92
Sm 0.7707 0.7707 0.7707  6 Pr 3.75-3.77, 6 Sm 4.03
Pt 0.6051 0.6051 0.6051  6 Pr 2.91-2.92



(6)
Material: NbTlSnMo2
Method: DFT, PBE
State: optimized geometry

Output
Formation energy = 2376 meV per atom

Cell: 5.1073 5.1073 5.2233 Å, 90.00 90.00 90.00°
With the nearest neighbours (Å) after each atom.
Element x y z (fractional)
Nb 0.0000 0.0000 0.0000  4 Sn 3.61, 8 Mo 3.65
Tl 0.5000 0.5000 0.5000  4 Mo 2.55, 2 Sn 2.61
Sn 0.5000 0.5000 0.0000  2 Tl 2.61
Mo 0.0000 0.5000 0.5000  2 Tl 2.55
Mo 0.5000 0.0000 0.5000  2 Tl 2.55



(7)
Material: RbPtBr
Method: DFT, PBE
State: optimized geometry

Output
E above lowest polymorph = 0.098 eV/atom
Uncorrected formation energy = -563.6 meV per atom

Cell: 5.0634 5.1145 8.2431 Å, 101.85 90.59 90.01°
With the nearest neighbours (Å) after each atom.
Element x y z (fractional)
Rb 0.0000 0.0000 0.0000  4 Pt 3.31-3.69, 1 Br 3.71
Rb 0.0086 0.3668 0.5122  2 Pt 3.31, 2 Br 3.52
Pt 0.5035 0.6002 0.1664  2 Br 2.44, 1 Pt 2.57
Pt 0.5046 0.1531 0.2618  2 Pt 2.57-2.78, 1 Br 2.59
Br 0.5000 0.4436 0.8659  1 Pt 2.44
Br 0.5076 0.8184 0.4582  2 Pt 2.44-2.59



(8)
Material: KRb2NaO
Method: DFT, PBE
State: optimized geometry

Output
Uncorrected formation energy = -499.5 meV per atom

Cell: 5.9052 5.9052 5.5811 Å, 90.00 90.00 90.00°
With the nearest neighbours (Å) after each atom.
Element x y z (fractional)
K 0.0000 0.0000 0.0000  2 O 2.79
Rb 0.0000 0.5000 0.5000  2 O 2.95
Rb 0.5000 0.0000 0.5000  2 O 2.95
Na 0.5000 0.5000 0.0000  8 Rb 4.06, 4 K 4.18
O 0.0000 0.0000 0.5000  2 K 2.79, 4 Rb 2.95



(9)
Material: MgCuO2
Method: DFT, PBE
State: optimized geometry

Output
Uncorrected formation energy = -1447.8 meV per atom

Cell: 3.1504 8.0290 8.1094 Å, 105.34 100.90 92.13°
With the nearest neighbours (Å) after each atom.
Element x y z (fractional)
Mg 0.0000 0.0000 0.0000  4 O 1.99-2.08
Mg 0.0844 0.5319 0.2834  5 O 2.02-2.18
Mg 0.4140 0.6037 0.9205  4 O 1.91-2.03
Mg 0.5361 0.8698 0.3210  5 O 2.02-2.13
Cu 0.2712 0.9243 0.6551  4 O 1.85-1.99
Cu 0.6499 0.5997 0.6191  4 O 1.86-2.07
Cu 0.6685 0.2536 0.7919  3 O 1.90-1.99
Cu 0.8225 0.2018 0.3887  3 O 1.85-2.01
O 0.0938 0.0144 0.4574  2 Cu 1.91-1.93, 2 Mg 2.02-2.13
O 0.1877 0.1232 0.8300  3 Cu 1.90-1.99, 1 Mg 2.05
O 0.3733 0.7344 0.4849  2 Cu 1.85-1.86, 2 Mg 2.02-2.05
O 0.5416 0.6245 0.1652  4 Mg 1.91-2.09
O 0.5610 0.8030 0.8244  2 Cu 1.99-2.07, 2 Mg 2.03-2.08
O 0.5786 0.0242 0.1593  3 Mg 1.99-2.05, 1 Cu 2.01
O 0.6452 0.4211 0.4001  2 Cu 1.85-1.96
O 0.8456 0.4819 0.7899  2 Cu 1.90, 2 Mg 1.97-2.01



(10)
Material: Ti2VN
Method: DFT, PBE
State: optimized geometry

Output
E above lowest polymorph = 1.422 eV/atom
Uncorrected formation energy = 576.4 meV per atom

Cell: 4.1201 4.1201 4.1201 Å, 60.00 60.00 60.00°
With the nearest neighbours (Å) after each atom.
Element x y z (fractional)
Ti 0.2500 0.2500 0.2500  4 N 2.52, 4 V 2.52
Ti 0.7500 0.7500 0.7500  4 V 2.52, 4 N 2.52
V 0.0000 0.0000 0.0000  8 Ti 2.52
N 0.5000 0.5000 0.5000  8 Ti 2.52



(11)
Material: Be2AgMo
Method: DFT, PBE
State: optimized geometry

Output
E above lowest polymorph = 0.133 eV/atom
Formation energy = 258 meV per atom

Cell: 4.8196 4.8196 4.4694 Å, 106.54 106.54 30.85°
With the nearest neighbours (Å) after each atom.
Element x y z (fractional)
Be 0.0000 0.0000 0.0000  4 Be 2.38-2.56, 3 Ag 2.53-2.62, 4 Mo 2.57-2.64
Be 0.7011 0.7011 0.3286  4 Be 2.38-2.56, 3 Mo 2.53-2.59, 4 Ag 2.59-2.62
Ag 0.2425 0.2425 0.8496  7 Be 2.53-2.62, 2 Ag 2.56
Mo 0.4546 0.4546 0.4631  7 Be 2.53-2.64, 2 Mo 2.56



(12)
Material: Mg2TaTiMn
Method: DFT, PBE
State: optimized geometry

Output
E above lowest polymorph = 0.398 eV/atom
Formation energy = 1377 meV per atom

Cell: 5.1961 5.1961 4.3846 Å, 90.00 90.00 90.00°
With the nearest neighbours (Å) after each atom.
Element x y z (fractional)
Mg 0.0000 0.5000 0.0000  2 Ta 2.60
Mg 0.5000 0.0000 0.0000  2 Ta 2.60
Ta 0.0000 0.0000 0.0000  2 Mn 2.19
Ti 0.5000 0.5000 0.5000  8 Mg 3.40, 4 Mn 3.67
Mn 0.0000 0.0000 0.5000  2 Ta 2.19



(13)
Material: Re2N3
Method: DFT, PBE
State: optimized geometry

Output
Uncorrected formation energy = 75.7 meV per atom

Cell: 5.8956 5.8956 5.8956 Å, 48.60 48.60 48.60°
With the nearest neighbours (Å) after each atom.
Element x y z (fractional)
Re 0.1606 0.1606 0.1606  6 N 2.00-2.16
Re 0.3394 0.3394 0.3394  6 N 2.00-2.16
Re 0.6606 0.6606 0.6606  6 N 2.00-2.16
Re 0.8394 0.8394 0.8394  6 N 2.00-2.16
N 0.0914 0.7500 0.4086  4 Re 2.00-2.16
N 0.2500 0.5914 0.9086  4 Re 2.00-2.16
N 0.4086 0.0914 0.7500  4 Re 2.00-2.16
N 0.5914 0.9086 0.2500  4 Re 2.00-2.16
N 0.7500 0.4086 0.0914  4 Re 2.00-2.16
N 0.9086 0.2500 0.5914  4 Re 2.00-2.16



(14)
Material: TmSc5Tl6
Method: DFT, PBE
State: optimized geometry

Output
Formation energy = -258 meV per atom

Cell: 8.8955 8.8955 5.1312 Å, 106.71 106.71 120.17°
With the nearest neighbours (Å) after each atom.
Element x y z (fractional)
Tm 0.0000 0.0000 0.0000  8 Tl 3.17-3.19
Sc 0.1652 0.8348 0.5000  8 Tl 3.12-3.16
Sc 0.3327 0.6673 0.0000  8 Tl 3.12-3.13
Sc 0.5000 0.5000 0.5000  8 Tl 3.11-3.16
Sc 0.6673 0.3327 0.0000  8 Tl 3.12-3.13
Sc 0.8348 0.1652 0.5000  8 Tl 3.12-3.16
Tl 0.0845 0.4224 0.2535  7 Sc 3.12-3.16, 1 Tm 3.19
Tl 0.2572 0.2572 0.7571  6 Sc 3.11-3.16, 2 Tm 3.17
Tl 0.4224 0.0845 0.2535  7 Sc 3.12-3.16, 1 Tm 3.19
Tl 0.5776 0.9155 0.7465  7 Sc 3.12-3.16, 1 Tm 3.19
Tl 0.7428 0.7428 0.2429  6 Sc 3.11-3.16, 2 Tm 3.17
Tl 0.9155 0.5776 0.7465  7 Sc 3.12-3.16, 1 Tm 3.19



(15)
Material: NaZrCl2
Method: DFT, PBE
State: optimized geometry

Output
E above lowest polymorph = 0.519 eV/atom
Uncorrected formation energy = -596.9 meV per atom

Cell: 4.7625 4.7625 4.7625 Å, 60.00 60.00 60.00°
With the nearest neighbours (Å) after each atom.
Element x y z (fractional)
Na 0.0000 0.0000 0.0000  8 Cl 2.92
Zr 0.5000 0.5000 0.5000  8 Cl 2.92
Cl 0.2500 0.2500 0.2500  4 Zr 2.92, 4 Na 2.92
Cl 0.7500 0.7500 0.7500  4 Zr 2.92, 4 Na 2.92



(16)
Material: TbThRh4
Method: DFT, PBE
State: optimized geometry

Output
Formation energy = -751 meV per atom

Cell: 5.3887 5.3887 5.3887 Å, 60.00 60.00 60.00°
With the nearest neighbours (Å) after each atom.
Element x y z (fractional)
Tb 0.0000 0.0000 0.0000  12 Rh 3.16, 4 Th 3.30
Th 0.7500 0.7500 0.7500  12 Rh 3.16, 4 Tb 3.30
Rh 0.3746 0.3746 0.3746  6 Rh 2.69-2.70
Rh 0.3746 0.3746 0.8761  6 Rh 2.69-2.70
Rh 0.3746 0.8761 0.3746  6 Rh 2.69-2.70
Rh 0.8761 0.3746 0.3746  6 Rh 2.69-2.70



(17)
Material: LaCo
Method: DFT, PBE
State: optimized geometry

Output
Formation energy = 129 meV per atom

Cell: 5.6758 5.6758 5.5669 Å, 90.00 90.00 90.00°
With the nearest neighbours (Å) after each atom.
Element x y z (fractional)
La 0.2151 0.2151 0.0000  4 Co 2.66-2.81
La 0.2849 0.7151 0.5000  4 Co 2.66-2.81
La 0.7151 0.2849 0.5000  4 Co 2.66-2.81
La 0.7849 0.7849 0.0000  4 Co 2.66-2.81
Co 0.1687 0.1687 0.5000  4 La 2.66-2.81, 1 Co 2.71
Co 0.3313 0.6687 0.0000  4 La 2.66-2.81, 1 Co 2.71
Co 0.6687 0.3313 0.0000  4 La 2.66-2.81, 1 Co 2.71
Co 0.8313 0.8313 0.5000  4 La 2.66-2.81, 1 Co 2.71



(18)
Material: Ba2LiPrHg6
Method: DFT, PBE
State: optimized geometry

Output
Formation energy = -324 meV per atom

Cell: 6.9985 7.3229 8.1169 Å, 84.47 64.71 62.51°
With the nearest neighbours (Å) after each atom.
Element x y z (fractional)
Ba 0.0607 0.1784 0.2300  7 Hg 3.49-3.86
Ba 0.9393 0.8216 0.7700  7 Hg 3.49-3.86
Li 0.5000 0.0000 0.5000  6 Hg 2.74-2.78
Pr 0.5000 0.5000 0.0000  6 Hg 3.09-3.13
Hg 0.0168 0.2783 0.6804  1 Li 2.78, 1 Hg 3.08
Hg 0.3979 0.2516 0.7903  1 Li 2.76, 1 Hg 3.08, 1 Pr 3.09
Hg 0.4216 0.3856 0.3969  1 Li 2.74
Hg 0.5784 0.6144 0.6031  1 Li 2.74
Hg 0.6021 0.7484 0.2097  1 Li 2.76, 1 Hg 3.08, 1 Pr 3.09
Hg 0.9832 0.7217 0.3196  1 Li 2.78, 1 Hg 3.08



(19)
Material: Rb2CuBiSe4
Method: DFT, PBE
State: optimized geometry

Output
Uncorrected formation energy = -502.3 meV per atom

Cell: 6.9279 6.9279 6.9279 Å, 104.65 104.65 119.61°
With the nearest neighbours (Å) after each atom.
Element x y z (fractional)
Rb 0.0000 0.5000 0.5000  2 Rb 3.48, 8 Se 3.56-3.70
Rb 0.5000 0.0000 0.5000  2 Rb 3.48, 8 Se 3.56-3.70
Cu 0.0000 0.0000 0.0000  4 Se 2.50
Bi 0.5000 0.5000 0.0000  4 Se 2.70
Se 0.0678 0.3901 0.0000  1 Cu 2.50, 1 Bi 2.70
Se 0.3901 0.0678 0.0000  1 Cu 2.50, 1 Bi 2.70
Se 0.6099 0.6099 0.6777  1 Cu 2.50, 1 Bi 2.70
Se 0.9322 0.9322 0.3223  1 Cu 2.50, 1 Bi 2.70



(20)
Material: TbTcN3
Method: DFT, PBE
State: optimized geometry

Output
Uncorrected formation energy = -367.2 meV per atom

Cell: 3.9101 3.9101 3.9101 Å, 90.00 90.00 90.00°
With the nearest neighbours (Å) after each atom.
Element x y z (fractional)
Tb 0.0000 0.0000 0.0000  12 N 2.76
Tc 0.5000 0.5000 0.5000  6 N 1.96
N 0.0000 0.5000 0.5000  2 Tc 1.96
N 0.5000 0.0000 0.5000  2 Tc 1.96
N 0.5000 0.5000 0.0000  2 Tc 1.96



(21)
Material: Mn3NbSn
Method: DFT, PBE
State: optimized geometry

Output
E above lowest polymorph = 0.241 eV/atom
Formation energy = 1382 meV per atom

Cell: 4.8583 4.8583 4.8583 Å, 90.00 90.00 90.00°
With the nearest neighbours (Å) after each atom.
Element x y z (fractional)
Mn 0.0000 0.0000 0.5000  2 Sn 2.43
Mn 0.0000 0.5000 0.0000  2 Sn 2.43
Mn 0.5000 0.0000 0.0000  2 Sn 2.43
Nb 0.5000 0.5000 0.5000  12 Mn 3.44
Sn 0.0000 0.0000 0.0000  6 Mn 2.43



(22)
Material: Mn2AgCl
Method: DFT, PBE
State: optimized geometry

Output
E above lowest polymorph = 0.047 eV/atom
Uncorrected formation energy = 154.7 meV per atom

Cell: 6.5180 6.5180 4.4913 Å, 90.11 90.11 26.89°
With the nearest neighbours (Å) after each atom.
Element x y z (fractional)
Mn 0.0000 0.0000 0.0000  2 Cl 2.50, 2 Ag 2.69, 2 Mn 2.70
Mn 0.6764 0.6764 0.0008  2 Cl 2.60, 2 Mn 2.70, 4 Ag 2.81
Ag 0.1173 0.1173 0.5006  6 Mn 2.69-2.81
Cl 0.3434 0.3434 0.0001  4 Mn 2.50-2.60



(23)
Material: Sm3ThAu4
Method: DFT, PBE
State: optimized geometry

Output
Formation energy = -732 meV per atom

Cell: 3.6283 5.2413 10.5212 Å, 90.00 90.00 90.00°
With the nearest neighbours (Å) after each atom.
Element x y z (fractional)
Sm 0.0000 0.0000 0.0000  8 Au 3.17-3.19
Sm 0.0000 0.5000 0.2473  8 Au 3.17-3.22
Sm 0.0000 0.5000 0.7527  8 Au 3.17-3.22
Th 0.0000 0.0000 0.5000  8 Au 3.19-3.23
Au 0.5000 0.0000 0.2465  6 Sm 3.17-3.19, 2 Th 3.23
Au 0.5000 0.0000 0.7535  6 Sm 3.17-3.19, 2 Th 3.23
Au 0.5000 0.5000 0.0000  8 Sm 3.17-3.19
Au 0.5000 0.5000 0.5000  4 Th 3.19, 4 Sm 3.22



(24)
Material: Pa3GaRu
Method: DFT, PBE
State: optimized geometry

Output
Formation energy = -271 meV per atom

Cell: 5.9304 4.8158 7.6116 Å, 90.00 101.52 90.00°
With the nearest neighbours (Å) after each atom.
Element x y z (fractional)
Pa 0.0000 0.0000 0.0000  4 Pa 2.90-3.23, 1 Ru 2.97, 3 Ga 3.05-3.13
Pa 0.0591 0.5000 0.6841  3 Ru 2.94-2.98, 4 Pa 3.12-3.18
Pa 0.2477 0.5000 0.1345  3 Pa 2.90-2.91, 1 Ru 2.96, 2 Ga 2.98
Pa 0.6372 0.5000 0.8849  3 Ru 2.76-3.00, 1 Pa 2.98
Pa 0.7205 0.0000 0.5600  3 Ru 2.80-2.97
Pa 0.8282 0.5000 0.2786  3 Pa 2.91-3.12, 1 Ru 3.05, 4 Ga 3.07-3.22
Ga 0.1806 0.0000 0.4138  3 Ru 2.67-2.98
Ga 0.5376 0.0000 0.1184  1 Ru 2.70, 2 Pa 2.98
Ru 0.3457 0.0000 0.7662  2 Ga 2.67-2.70, 4 Pa 2.94-2.97
Ru 0.4736 0.5000 0.5189  6 Pa 2.76-3.05, 2 Ga 2.98



(25)
Material: Pm2SmRh
Method: DFT, PBE
State: optimized geometry

Output
E above lowest polymorph = 0.163 eV/atom
Formation energy = -284 meV per atom

Cell: 9.6131 9.6131 9.6131 Å, 23.54 23.54 23.54°
With the nearest neighbours (Å) after each atom.
Element x y z (fractional)
Pm 0.0000 0.0000 0.0000  3 Rh 2.82
Pm 0.2142 0.2142 0.2142  3 Rh 2.81
Sm 0.4414 0.4414 0.4414  6 Pm 3.74-3.78, 6 Sm 3.92
Rh 0.6068 0.6068 0.6068  6 Pm 2.81-2.82



(26)
Material: RhAu3N
Method: DFT, PBE
State: optimized geometry

Output
E above lowest polymorph = 0.000 eV/atom
Uncorrected formation energy = 879.4 meV per atom

Cell: 4.3064 4.3064 4.3064 Å, 90.00 90.00 90.00°
With the nearest neighbours (Å) after each atom.
Element x y z (fractional)
Rh 0.0000 0.0000 0.0000  12 Au 3.05
Au 0.0000 0.5000 0.5000  2 N 2.15
Au 0.5000 0.0000 0.5000  2 N 2.15
Au 0.5000 0.5000 0.0000  2 N 2.15
N 0.5000 0.5000 0.5000  6 Au 2.15